--- w ---
{"formula": "ZrAlRh3", "functional": "PBE", "state": "relaxed", "lattice": [[4.7685, 0.0000, 0.0000], [0.0000, 4.7685, 0.0000], [0.0000, 0.0000, 4.7685]], "species": ["Zr", "Al", "Rh", "Rh", "Rh"], "frac_coords": [[0.0000, 0.0000, 0.0000], [0.5000, 0.5000, 0.5000], [0.0000, 0.0000, 0.5000], [0.0000, 0.5000, 0.0000], [0.5000, 0.0000, 0.0000]], "crystal_system": "cubic", "dos_ef_per_ev_fu": 0.3}

***

--- x ---
{"formula": "ZrAlRh3", "functional": "PBE", "state": "relaxed", "lattice": [[4.4215, 0.0000, 0.0000], [0.0000, 4.4215, 0.0000], [0.0000, 0.0000, 4.4215]], "species": ["Zr", "Al", "Rh", "Rh", "Rh"], "frac_coords": [[0.0000, 0.0000, 0.0000], [0.5000, 0.5000, 0.5000], [0.0000, 0.5000, 0.5000], [0.5000, 0.0000, 0.5000], [0.5000, 0.5000, 0.0000]], "crystal_system": "cubic", "dos_ef_per_ev_fu": 0.0}

***

x (965 meV/atom below the next structure)